## Sr2CoCCl (PBE-GGA)

Data for crystalline Sr2CoCCl at its relaxed geometry.

Unit cell a=5.563 b=5.563 c=4.244 alpha=90.00 beta=90.00 gamma=90.00
Element x y z (fractional)
Sr: 0.000 0.500 0.000
Sr: 0.500 0.000 0.000
Co: 0.000 0.000 0.500
C: 0.500 0.500 0.500
Cl: 0.500 0.500 0.000

For the density, the calculation gives 3.6 g cm⁻³. Its raw formation energy is 0.88 eV/atom. As for the crystal system: tetragonal. The calculation puts the magnetic moment at 0.365 μB per atom.